[1]
Compound: HfGaSb3
Source: the Alexandria database
Functional: PBE-GGA
Structure: optimized geometry

DOS at the Fermi energy = 4.0 states/eV/f.u.
E above lowest polymorph = 0.0 kJ/mol of formula units
Electronic total energy = -24.05 eV/cell
Total magnetic moment = 0.0 μB/f.u.

Cell lengths 5.5274, 5.5274, 5.5274 Å; angles 90.00, 90.00, 90.00 degrees
Space group Pm-3m (No. 221)
One atom of each set of equivalent atoms:
Hf1 0.0000 0.0000 0.0000
Ga1 0.5000 0.5000 0.5000
Sb1 0.0000 0.0000 0.5000

[2]
Compound: CuNi2N2
Source: the Alexandria database
Functional: PBE-GGA
Structure: optimized geometry

DOS at the Fermi energy = 4.1 states/eV/f.u.
E above lowest polymorph = 0.0 kJ/mol of formula units
Electronic total energy = -57.16 eV/cell
Total magnetic moment = 0.0 μB/f.u.

Cell lengths 3.6603, 3.6603, 7.4681 Å; angles 90.00, 90.00, 90.00 degrees
Space group I4/mmm (No. 139)
One atom of each set of equivalent atoms:
Cu1 0.0000 0.0000 0.0000
Ni1 0.0000 0.0000 0.3300
N1 0.0000 0.5000 0.2500